A relaxed structure of BaTmV2O8, computed with GGA+U.

Calculated values
VASP energy (eV per atom): -7.4646
Theoretical density (g cm⁻³): 4.08
N(E_F) (states/eV per cell): 9.7

Cell: 5.7591 5.7591 7.5996 Å, 90.00 90.00 120.00°
Space group P-3 (No. 147)
Inequivalent atoms, fractional coordinates:
Ba 0.0000 0.0000 0.0000 [1 per cell]
Tm 0.0000 0.0000 0.5000 [1 per cell]
V 0.3333 0.6667 0.7634 [2 per cell]
O 0.1646 0.3332 0.6915 [6 per cell]
O 0.3333 0.6667 0.9869 [2 per cell]